Entry 1:
A plane-wave DFT calculation with PBE was carried out for Pr6Ir2RuCl3 after structural relaxation.

a = 9.9121 Å, b = 9.9121 Å, c = 9.0050 Å
α = 109.69°, β = 109.69°, γ = 24.03°
Closest atoms and distances in Å follow each position.
Element x y z (fractional)
Pr 0.0079 0.0079 0.2229  2 Ru 2.85, 1 Ir 2.89
Pr 0.3231 0.3231 0.4437  3 Ir 2.85
Pr 0.3457 0.3457 0.8980  1 Ru 2.81, 2 Ir 2.87
Pr 0.6543 0.6543 0.1020  1 Ru 2.81, 2 Ir 2.87
Pr 0.6769 0.6769 0.5563  3 Ir 2.85
Pr 0.9921 0.9921 0.7771  2 Ru 2.85, 1 Ir 2.89
Ir 0.1663 0.1663 0.3309  6 Pr 2.85-2.89
Ir 0.8337 0.8337 0.6691  6 Pr 2.85-2.89
Ru 0.5000 0.5000 0.0000  6 Pr 2.81-2.85
Cl 0.1647 0.1647 0.8303  6 Pr 3.21-3.35
Cl 0.5000 0.5000 0.5000  6 Pr 3.28-3.29
Cl 0.8353 0.8353 0.1697  6 Pr 3.21-3.35

Calculated values
- E_tot: -6.178 eV per atom
- SG: C2/m
- E_form (uncorrected): -1.08 eV/atom
- Fermi-level density of states: 5.21 states/eV/f.u.
- Total moment: 0.000 μB per atom

Entry 2:
A plane-wave DFT calculation with PBE was carried out for Th4HC2N after structural relaxation.

a = 6.3778 Å, b = 3.7234 Å, c = 6.4576 Å
α = 90.00°, β = 108.66°, γ = 90.00°
Closest atoms and distances in Å follow each position.
Element x y z (fractional)
Th 0.2390 0.0000 0.2366  3 C 2.58-2.62, 1 N 2.59, 2 H 2.71
Th 0.2494 0.5000 0.7528  3 C 2.59-2.65, 1 H 2.62, 2 N 2.63
Th 0.7506 0.5000 0.2472  3 C 2.59-2.65, 1 H 2.62, 2 N 2.63
Th 0.7610 0.0000 0.7634  3 C 2.58-2.62, 1 N 2.59, 2 H 2.71
H 0.5000 0.5000 0.5000  6 Th 2.62-2.71
C 0.0000 0.0000 0.5000  6 Th 2.62-2.65
C 0.0000 0.5000 0.0000  6 Th 2.58-2.59
N 0.5000 0.0000 0.0000  6 Th 2.59-2.63

Calculated values
- E_tot: -8.140 eV per atom
- SG: P2/m
- Fermi-level density of states: 4.79 states/eV/f.u.
- Total moment: 0.000 μB per atom

Entry 3:
A plane-wave DFT calculation with PBE was carried out for VPbW2 after structural relaxation.

a = 10.3867 Å, b = 10.3867 Å, c = 10.3867 Å
α = 158.42°, β = 158.42°, γ = 30.71°
Closest atoms and distances in Å follow each position.
Element x y z (fractional)
V 0.0000 0.0000 0.0000  4 Pb 2.75, 4 W 2.83
V 0.7500 0.2500 0.5000  4 Pb 2.75, 4 W 2.83
Pb 0.2500 0.7500 0.5000  4 V 2.75, 4 W 2.89
Pb 0.5000 0.5000 0.0000  4 V 2.75, 4 W 2.89
W 0.1038 0.6250 0.9788  4 W 2.64-2.87, 2 V 2.83, 2 Pb 2.89
W 0.3750 0.3538 0.4788  4 W 2.64-2.87, 2 V 2.83, 2 Pb 2.89
W 0.6462 0.1250 0.0212  4 W 2.64-2.87, 2 V 2.83, 2 Pb 2.89
W 0.8750 0.8962 0.5212  4 W 2.64-2.87, 2 V 2.83, 2 Pb 2.89

Calculated values
- ΔE_f: 1123 meV per atom
- E_tot: -8.561 eV per atom
- SG: I-42d
- Fermi-level density of states: 4.47 states/eV/f.u.
- Total moment: 0.416 μB per atom

Entry 4:
A plane-wave DFT calculation with PBE was carried out for Pr2Nd3HoEr6 after structural relaxation.

a = 6.2243 Å, b = 6.2243 Å, c = 11.7850 Å
α = 95.04°, β = 95.04°, γ = 119.99°
Closest atoms and distances in Å follow each position.
Element x y z (fractional)
Pr 0.1664 0.8336 0.0000  6 Er 3.56-3.57, 3 Pr 3.59-3.60, 3 Ho 3.59-3.60
Pr 0.8336 0.1664 0.0000  6 Er 3.56-3.57, 3 Pr 3.59-3.60, 3 Ho 3.59-3.60
Nd 0.0000 0.0000 0.5000  6 Er 3.57, 6 Nd 3.59-3.60
Nd 0.3331 0.6669 0.5000  6 Er 3.57, 6 Nd 3.59-3.60
Nd 0.6669 0.3331 0.5000  6 Er 3.57, 6 Nd 3.59-3.60
Ho 0.5000 0.5000 0.0000  6 Er 3.56, 6 Pr 3.59-3.60
Er 0.0839 0.4166 0.7505  1 Ho 3.56, 2 Pr 3.56, 3 Nd 3.57, 6 Er 3.59-3.60
Er 0.2509 0.2509 0.2498  1 Ho 3.56, 2 Pr 3.57, 3 Nd 3.57, 6 Er 3.59-3.60
Er 0.4166 0.0839 0.7505  1 Ho 3.56, 2 Pr 3.56, 3 Nd 3.57, 6 Er 3.59-3.60
Er 0.5834 0.9161 0.2495  1 Ho 3.56, 2 Pr 3.56, 3 Nd 3.57, 6 Er 3.59-3.60
Er 0.7491 0.7491 0.7502  1 Ho 3.56, 2 Pr 3.57, 3 Nd 3.57, 6 Er 3.59-3.60
Er 0.9161 0.5834 0.2495  1 Ho 3.56, 2 Pr 3.56, 3 Nd 3.57, 6 Er 3.59-3.60

Calculated values
- ΔE_f: 16 meV per atom
- E_tot: -4.636 eV per atom
- SG: C2/m
- Fermi-level density of states: 13.38 states/eV/f.u.
- Total moment: 0.000 μB per atom

Q: Number 4 is which compound?
A: Pr2Nd3HoEr6